Record 1
A plane-wave DFT calculation with PBE-GGA was carried out for crystalline Pm3Hf at its relaxed geometry.

Unit cell a=4.9656 b=4.9656 c=9.8483 alpha=90.00 beta=90.00 gamma=90.00
Last column: nearest neighbours and their distance in Å.
Sites, in units of the cell vectors:
Pm (0.0000, 0.0000, 0.0000)  8 Pm 3.50, 4 Hf 3.51
Pm (0.0000, 0.5000, 0.2500)  8 Pm 3.50-3.51, 4 Hf 3.50
Pm (0.0000, 0.5000, 0.7500)  4 Hf 3.50, 8 Pm 3.50-3.51
Pm (0.5000, 0.0000, 0.2500)  8 Pm 3.50-3.51, 4 Hf 3.50
Pm (0.5000, 0.0000, 0.7500)  4 Hf 3.50, 8 Pm 3.50-3.51
Pm (0.5000, 0.5000, 0.5000)  8 Pm 3.50, 4 Hf 3.51
Hf (0.0000, 0.0000, 0.5000)  12 Pm 3.50-3.51
Hf (0.5000, 0.5000, 0.0000)  12 Pm 3.50-3.51

Values from the calculation:
V = 121.4 Å³/f.u.
Total magnetic moment = 0.0 μB/cell
Total DFT energy (no corrections) = -23.5 eV per formula unit
Formation enthalpy at 0 K = 0.182 eV/atom
Offset from the most stable computed form = 3 meV/atom

=====

Record 2
A plane-wave DFT calculation with PBE-GGA was carried out for crystalline Nd12Sm7Cd at its relaxed geometry.

Unit cell a=10.0543 b=10.0543 c=10.0543 alpha=109.47 beta=109.47 gamma=109.47
Last column: nearest neighbours and their distance in Å.
Sites, in units of the cell vectors:
Nd (0.0006, 0.7567, 0.2439)  2 Sm 2.90
Nd (0.2433, 0.2439, 0.4872)  2 Sm 2.90
Nd (0.2433, 0.7561, 0.9994)  2 Sm 2.90
Nd (0.2439, 0.0006, 0.7567)  2 Sm 2.90
Nd (0.2439, 0.4872, 0.2433)  2 Sm 2.90
Nd (0.4872, 0.2433, 0.2439)  2 Sm 2.90
Nd (0.5128, 0.7567, 0.7561)  2 Sm 2.90
Nd (0.7561, 0.5128, 0.7567)  2 Sm 2.90
Nd (0.7561, 0.9994, 0.2433)  2 Sm 2.90
Nd (0.7567, 0.2439, 0.0006)  2 Sm 2.90
Nd (0.7567, 0.7561, 0.5128)  2 Sm 2.90
Nd (0.9994, 0.2433, 0.7561)  2 Sm 2.90
Sm (0.0000, 0.0000, 0.5000)  6 Nd 2.90
Sm (0.0000, 0.5000, 0.0000)  6 Nd 2.90
Sm (0.0000, 0.5000, 0.5000)  12 Nd 4.10-4.21
Sm (0.5000, 0.0000, 0.0000)  6 Nd 2.90
Sm (0.5000, 0.0000, 0.5000)  12 Nd 4.10-4.21
Sm (0.5000, 0.5000, 0.0000)  12 Nd 4.10-4.21
Sm (0.5000, 0.5000, 0.5000)  6 Nd 2.90
Cd (0.0000, 0.0000, 0.0000)  12 Nd 4.00

Values from the calculation:
V = 782.4 Å³/f.u.
Total magnetic moment = 0.0 μB/cell
Total DFT energy (no corrections) = -78.8 eV per formula unit
Formation enthalpy at 0 K = 0.618 eV/atom
Offset from the most stable computed form = 450 meV/atom

=====

Record 3
A plane-wave DFT calculation with PBE-GGA was carried out for crystalline Tb2YSc at its relaxed geometry.

Unit cell a=7.8550 b=7.8550 c=7.8550 alpha=90.00 beta=90.00 gamma=90.00
Last column: nearest neighbours and their distance in Å.
Sites, in units of the cell vectors:
Tb (0.2500, 0.2500, 0.2500)  4 Y 3.40, 4 Sc 3.40
Tb (0.2500, 0.2500, 0.7500)  4 Sc 3.40, 4 Y 3.40
Tb (0.2500, 0.7500, 0.2500)  4 Sc 3.40, 4 Y 3.40
Tb (0.2500, 0.7500, 0.7500)  4 Y 3.40, 4 Sc 3.40
Tb (0.7500, 0.2500, 0.2500)  4 Sc 3.40, 4 Y 3.40
Tb (0.7500, 0.2500, 0.7500)  4 Y 3.40, 4 Sc 3.40
Tb (0.7500, 0.7500, 0.2500)  4 Y 3.40, 4 Sc 3.40
Tb (0.7500, 0.7500, 0.7500)  4 Sc 3.40, 4 Y 3.40
Y (0.0000, 0.0000, 0.0000)  8 Tb 3.40
Y (0.0000, 0.5000, 0.5000)  8 Tb 3.40
Y (0.5000, 0.0000, 0.5000)  8 Tb 3.40
Y (0.5000, 0.5000, 0.0000)  8 Tb 3.40
Sc (0.0000, 0.0000, 0.5000)  8 Tb 3.40
Sc (0.0000, 0.5000, 0.0000)  8 Tb 3.40
Sc (0.5000, 0.0000, 0.0000)  8 Tb 3.40
Sc (0.5000, 0.5000, 0.5000)  8 Tb 3.40

Values from the calculation:
V = 121.2 Å³/f.u.
Total magnetic moment = 0.0 μB/cell
Total DFT energy (no corrections) = -21.6 eV per formula unit
Formation enthalpy at 0 K = 0.126 eV/atom
Offset from the most stable computed form = 90 meV/atom